Entry 1:
Entry from the Alexandria database: a geometry-optimized Th2MnNi12P3 structure (PBE).

Summary:
ΔH_f (0 K): -0.083 eV/atom

a = 7.0887 Å, b = 7.0887 Å, c = 7.0887 Å
α = 65.20°, β = 65.20°, γ = 65.20°
Last column: nearest neighbours and their distance in Å.
Positions (direct):
Th: 0.6141 0.6141 0.6141  6 Ni 2.65-2.83
Th: 0.3859 0.3859 0.3859  6 Ni 2.65-2.83
Mn: 0.0000 0.0000 0.0000  6 Ni 2.33
Ni: 0.3428 0.3428 0.8923  2 P 2.15
Ni: 0.8700 0.8700 0.3775  1 P 2.12, 1 Mn 2.33
Ni: 0.3775 0.8700 0.8700  1 P 2.12, 1 Mn 2.33
Ni: 0.8923 0.3428 0.3428  2 P 2.15
Ni: 0.8700 0.3775 0.8700  1 P 2.12, 1 Mn 2.33
Ni: 0.3428 0.8923 0.3428  2 P 2.15
Ni: 0.6572 0.6572 0.1077  2 P 2.15
Ni: 0.1300 0.1300 0.6225  1 P 2.12, 1 Mn 2.33
Ni: 0.6225 0.1300 0.1300  1 P 2.12, 1 Mn 2.33
Ni: 0.1077 0.6572 0.6572  2 P 2.15
Ni: 0.1300 0.6225 0.1300  1 P 2.12, 1 Mn 2.33
Ni: 0.6572 0.1077 0.6572  2 P 2.15
P: 0.5000 0.0000 0.0000  6 Ni 2.12-2.15
P: 0.0000 0.5000 0.0000  6 Ni 2.12-2.15
P: 0.0000 0.0000 0.5000  6 Ni 2.12-2.15

Entry 2:
Entry from the Alexandria database: a geometry-optimized NaPmErGa structure (PBE).

Summary:
ΔH_f (0 K): -0.123 eV/atom

a = 5.2711 Å, b = 5.2711 Å, c = 5.2711 Å
α = 60.00°, β = 60.00°, γ = 60.00°
Last column: nearest neighbours and their distance in Å.
Positions (direct):
Na: 0.7500 0.7500 0.7500  4 Er 3.23, 4 Pm 3.23
Pm: 0.0000 0.0000 0.0000  4 Na 3.23, 4 Ga 3.23
Ga: 0.2500 0.2500 0.2500  4 Er 3.23, 4 Pm 3.23
Er: 0.5000 0.5000 0.5000  4 Na 3.23, 4 Ga 3.23

Entry 3:
Entry from the Alexandria database: a geometry-optimized LuThPaSn structure (PBE).

Summary:
ΔH_f (0 K): 0.043 eV/atom

a = 5.3545 Å, b = 5.3545 Å, c = 5.3545 Å
α = 60.00°, β = 60.00°, γ = 60.00°
Last column: nearest neighbours and their distance in Å.
Positions (direct):
Pa: 0.0000 0.0000 0.0000  4 Sn 3.28, 4 Th 3.28
Lu: 0.5000 0.5000 0.5000  4 Sn 3.28, 4 Th 3.28
Sn: 0.2500 0.2500 0.2500  4 Pa 3.28, 4 Lu 3.28
Th: 0.7500 0.7500 0.7500  4 Lu 3.28, 4 Pa 3.28

Entry 4:
Entry from the Alexandria database: a geometry-optimized ScHg2P structure (PBE).

Summary:
ΔH_f (0 K): -0.301 eV/atom

a = 3.8999 Å, b = 4.0300 Å, c = 5.7129 Å
α = 75.99°, β = 90.00°, γ = 90.00°
Last column: nearest neighbours and their distance in Å.
Positions (direct):
Sc: 0.0000 0.5000 0.5000  4 P 2.80, 2 Hg 3.07
Hg: 0.0000 0.0000 0.0000  4 Hg 2.80, 2 Sc 3.07
Hg: 0.5000 0.5000 0.0000  4 Hg 2.80, 2 P 3.07
P: 0.5000 0.0000 0.5000  4 Sc 2.80, 2 Hg 3.07

Entry 5:
Entry from the Alexandria database: a geometry-optimized SrInAsBr2 structure (PBE).

Summary:
distance to the lowest polymorph of the same formula: 0 meV/atom
energy relative to the elements, uncorrected: -0.6467 eV per atom

a = 5.5350 Å, b = 5.5350 Å, c = 5.3406 Å
α = 90.00°, β = 90.00°, γ = 90.00°
Last column: nearest neighbours and their distance in Å.
Positions (direct):
Sr: 0.5000 0.5000 0.5000  8 Br 3.85, 4 As 3.91
As: 0.0000 0.0000 0.5000  2 In 2.67
Br: 0.0000 0.5000 0.0000  2 In 2.77
Br: 0.5000 0.0000 0.0000  2 In 2.77
In: 0.0000 0.0000 0.0000  2 As 2.67, 4 Br 2.77

Entry 6:
Entry from the Alexandria database: a geometry-optimized MnBe2Ag structure (PBE).

Summary:
distance to the lowest polymorph of the same formula: 295 meV/atom
ΔH_f (0 K): 0.345 eV/atom

a = 3.9930 Å, b = 3.9930 Å, c = 4.9373 Å
α = 83.27°, β = 83.27°, γ = 36.67°
Last column: nearest neighbours and their distance in Å.
Positions (direct):
Be: 0.0026 0.0026 0.9415  3 Mn 2.24-2.36, 2 Be 2.27
Be: 0.4974 0.4974 0.5585  3 Mn 2.24-2.36, 2 Be 2.27
Mn: 0.7500 0.7500 0.7500  6 Be 2.24-2.36
Ag: 0.2500 0.2500 0.2500  2 Ag 2.51, 6 Be 2.56-2.62, 4 Mn 2.77

Entry 7:
Entry from the Alexandria database: a geometry-optimized NdHoTl3 structure (PBE).

Summary:
ΔH_f (0 K): -0.128 eV/atom

a = 6.5169 Å, b = 7.3956 Å, c = 7.3956 Å
α = 120.00°, β = 90.00°, γ = 90.00°
Last column: nearest neighbours and their distance in Å.
Positions (direct):
Nd: 0.2500 0.3335 0.6665  12 Tl 3.69-3.72
Nd: 0.7500 0.6665 0.3335  12 Tl 3.69-3.72
Ho: 0.0000 0.0000 0.0000  6 Tl 3.02, 2 Ho 3.26
Ho: 0.5000 0.0000 0.0000  6 Tl 3.02, 2 Ho 3.26
Tl: 0.2500 0.8011 0.1989  2 Tl 2.98, 2 Ho 3.02
Tl: 0.7500 0.1989 0.8011  2 Tl 2.98, 2 Ho 3.02
Tl: 0.2500 0.8011 0.6024  2 Tl 2.98, 2 Ho 3.02
Tl: 0.7500 0.1989 0.3976  2 Tl 2.98, 2 Ho 3.02
Tl: 0.2500 0.3976 0.1989  2 Tl 2.98, 2 Ho 3.02
Tl: 0.7500 0.6024 0.8011  2 Tl 2.98, 2 Ho 3.02

Entry 8:
Entry from the Alexandria database: a geometry-optimized Gd2CdFe structure (PBE).

Summary:
distance to the lowest polymorph of the same formula: 177 meV/atom
ΔH_f (0 K): 0.062 eV/atom

a = 5.1163 Å, b = 5.1163 Å, c = 5.1163 Å
α = 60.00°, β = 60.00°, γ = 60.00°
Last column: nearest neighbours and their distance in Å.
Positions (direct):
Gd: 0.2500 0.2500 0.2500  4 Cd 3.13, 4 Fe 3.13
Gd: 0.7500 0.7500 0.7500  4 Cd 3.13, 4 Fe 3.13
Fe: 0.0000 0.0000 0.0000  8 Gd 3.13
Cd: 0.5000 0.5000 0.5000  8 Gd 3.13